[1]
This record from Alexandria describes a relaxed RbAs2Ru2 crystal. The functional is PBE-GGA.

Computed properties:
* ΔH_f (0 K): -0.399 eV per atom
* magnetization: 0.0 μB per formula unit
* space-group type: I4/mmm (139)

Cell lengths 4.119, 4.119, 7.459 Å; angles 106.03, 106.03, 90.00 degrees
Fractional positions:
Ru (0.750, 0.250, 0.500)
As (0.345, 0.345, 0.690)
Ru (0.250, 0.750, 0.500)
As (0.655, 0.655, 0.310)
Rb (0.000, 0.000, 0.000)



[2]
This record from Alexandria describes a relaxed Rb3AsRu crystal. The functional is PBE-GGA.

Computed properties:
* ΔE to the lowest computed polymorph: 0 meV/atom
* ΔH_f (0 K): 1.010 eV per atom
* magnetization: 4.0 μB per formula unit
* space-group type: Pm-3m (221)

Cell lengths 6.619, 6.619, 6.619 Å; angles 90.00, 90.00, 90.00 degrees
Last column: magnetic moment on the atom in μB.
Fractional positions:
Rb (0.000, 0.500, 0.000)  0.01
As (0.000, 0.000, 0.000)  0.41
Rb (0.500, 0.000, 0.000)  0.01
Rb (0.000, 0.000, 0.500)  0.02
Ru (0.500, 0.500, 0.500)  2.67



| no. | uncorrected energy (eV/cell) |
| --- | --- |
| 1 | -30.8 |
| 2 | -11.8 |